Entry 1:
Below is a geometry-optimized KSbO structure, with properties calculated at the PBE level.

Cell lengths 7.4442, 7.4442, 6.5753 Å; angles 114.39, 114.39, 31.85 degrees
With the nearest neighbours (Å) after each atom.
Element x y z (fractional)
K1 0.0000 0.0000 0.0000  4 O 2.68-2.93
K2 0.1991 0.1991 0.8089  3 O 2.64-2.73
Sb1 0.4023 0.4023 0.3775  1 O 1.95
Sb2 0.7487 0.7487 0.3421  1 O 1.96
O1 0.3991 0.3991 0.0780  1 Sb 1.95
O2 0.6505 0.6505 0.0229  1 Sb 1.96

Total magnetization = 0.00 μB per cell
E = -4.45 eV/atom
Formation energy from raw total energies = -1056 meV per atom
Space-group type = No. 8

---

Entry 2:
Below is a geometry-optimized Na2PPt structure, with properties calculated at the PBE level.

Cell lengths 4.2330, 5.3513, 5.3513 Å; angles 51.77, 90.00, 90.00 degrees
With the nearest neighbours (Å) after each atom.
Element x y z (fractional)
Na1 0.0000 0.0000 0.0000  3 P 2.97-2.98
Na2 0.5000 0.3038 0.3038  3 Pt 2.97-2.99
P1 0.0000 0.6904 0.6904  2 Pt 2.24
Pt1 0.5000 0.6140 0.6140  2 P 2.24

Energy of formation = -458.0 meV/atom
Total magnetization = 0.00 μB per cell
E = -3.98 eV/atom
Space-group type = No. 38

---

Entry 3:
Below is a geometry-optimized WCl5 structure, with properties calculated at the PBE level.

Cell lengths 7.4405, 7.4405, 7.6449 Å; angles 115.44, 115.44, 24.19 degrees
With the nearest neighbours (Å) after each atom.
Element x y z (fractional)
W1 0.0000 0.0000 0.0000  5 Cl 2.39-2.57
Cl1 0.0042 0.0042 0.3165  1 W 2.39
Cl2 0.3604 0.3604 0.9993  2 W 2.56, 1 Cl 2.69
Cl3 0.3918 0.3918 0.6785  2 Cl 2.69-2.74, 2 W 2.75
Cl4 0.6017 0.6017 0.8458  2 Cl 2.69-2.74, 2 W 2.75
Cl5 0.6431 0.6431 0.2251  2 W 2.57, 3 Cl 2.69-2.87

Total magnetization = 0.04 μB per cell
E = -3.84 eV/atom
Formation energy from raw total energies = -143 meV per atom
Space-group type = No. 8

---

Entry 4:
Below is a geometry-optimized NaTiTl2 structure, with properties calculated at the PBE level.

Cell lengths 3.3212, 3.3212, 8.4538 Å; angles 90.00, 90.00, 90.00 degrees
With the nearest neighbours (Å) after each atom.
Element x y z (fractional)
Na1 0.0000 0.0000 0.0000  8 Tl 3.30, 4 Na 3.32
Ti1 0.0000 0.0000 0.5000  8 Tl 3.03, 4 Ti 3.32
Tl1 0.5000 0.5000 0.2738  4 Ti 3.03, 4 Na 3.30, 4 Tl 3.32
Tl2 0.5000 0.5000 0.7262  4 Ti 3.03, 4 Na 3.30, 4 Tl 3.32

Energy of formation = 94.6 meV/atom
Total magnetization = 0.00 μB per cell
E = -3.39 eV/atom
Space-group type = No. 123

---

Entry 5:
Below is a geometry-optimized VNi2Pd6 structure, with properties calculated at the PBE level.

Cell lengths 4.6863, 4.6863, 8.1111 Å; angles 105.95, 105.95, 48.63 degrees
With the nearest neighbours (Å) after each atom.
Element x y z (fractional)
V1 0.0000 0.0000 0.0000  8 Pd 2.60-2.71, 4 Ni 2.67
Ni1 0.3411 0.3411 0.7878  10 Pd 2.60-2.78, 2 V 2.67
Ni2 0.6589 0.6589 0.2122  10 Pd 2.60-2.78, 2 V 2.67
Pd1 0.9996 0.9996 0.3200  1 V 2.60, 3 Ni 2.66-2.77, 7 Pd 2.70-2.80
Pd2 0.0004 0.0004 0.6800  1 V 2.60, 3 Ni 2.66-2.77, 7 Pd 2.70-2.80
Pd3 0.3317 0.3317 0.4434  9 Pd 2.70-2.80, 3 Ni 2.77-2.78
Pd4 0.3331 0.3331 0.1060  4 Ni 2.60-2.73, 5 Pd 2.69-2.74, 3 V 2.69-2.71
Pd5 0.6669 0.6669 0.8940  4 Ni 2.60-2.73, 5 Pd 2.69-2.74, 3 V 2.69-2.71
Pd6 0.6683 0.6683 0.5566  9 Pd 2.70-2.80, 3 Ni 2.77-2.78

Energy of formation = -108.0 meV/atom
Total magnetization = 0.01 μB per cell
E = -5.87 eV/atom
Space-group type = No. 12

---

Entry 6:
Below is a geometry-optimized GeP structure, with properties calculated at the PBE level.

Cell lengths 7.1016, 7.1016, 7.1016 Å; angles 149.98, 59.81, 129.56 degrees
With the nearest neighbours (Å) after each atom.
Element x y z (fractional)
Ge1 0.0000 0.0000 0.0000  2 P 2.49
Ge2 0.1768 0.8679 0.3089  4 P 2.39-2.41
Ge3 0.5589 0.8679 0.6911  4 P 2.39-2.41
P1 0.1676 0.4711 0.6964  3 Ge 2.39-2.40
P2 0.2779 0.7779 0.5000  4 Ge 2.41-2.49
P3 0.7747 0.4711 0.3036  3 Ge 2.39-2.40

Energy of formation = 196.8 meV/atom
Total magnetization = 0.00 μB per cell
E = -4.82 eV/atom
Space-group type = No. 44

---

Entry 7:
Below is a geometry-optimized FeBi2As structure, with properties calculated at the PBE level.

Cell lengths 7.5710, 7.5710, 7.5710 Å; angles 131.54, 131.54, 70.95 degrees
With the nearest neighbours (Å) after each atom.
Element x y z (fractional)
Fe1 0.0000 0.0000 0.0000  4 Bi 2.53
Fe2 0.7500 0.2500 0.5000  4 Bi 2.53
Bi1 0.0788 0.6250 0.9538  2 Fe 2.53
Bi2 0.3750 0.3288 0.4538  2 Fe 2.53
Bi3 0.6712 0.1250 0.0462  2 Fe 2.53
Bi4 0.8750 0.9212 0.5462  2 Fe 2.53
As1 0.2500 0.7500 0.5000  4 Bi 2.86
As2 0.5000 0.5000 0.0000  4 Bi 2.86

Energy of formation = 596.3 meV/atom
Total magnetization = 0.00 μB per cell
E = -4.62 eV/atom
Space-group type = No. 122

---

Entry 8:
Below is a geometry-optimized CeHoZnHg structure, with properties calculated at the PBE level.

Cell lengths 5.2275, 5.2275, 5.2275 Å; angles 60.00, 60.00, 60.00 degrees
With the nearest neighbours (Å) after each atom.
Element x y z (fractional)
Ce1 0.0000 0.0000 0.0000  4 Zn 3.20, 4 Hg 3.20
Ho1 0.5000 0.5000 0.5000  4 Zn 3.20, 4 Hg 3.20
Zn1 0.7500 0.7500 0.7500  4 Ho 3.20, 4 Ce 3.20
Hg1 0.2500 0.2500 0.2500  4 Ce 3.20, 4 Ho 3.20

Energy of formation = -290.1 meV/atom
Total magnetization = 1.57 μB per cell
E = -3.31 eV/atom
Space-group type = No. 216